A plane-wave DFT calculation with GGA-PBE was carried out for an optimized crystal structure of Er2CoNi4Ge3.

Properties
- Volume: 155.34 Å³/f.u.
- Magnetic moment: 1.83 μB per formula unit
- Formation enthalpy at 0 K: -0.569 eV/atom
- Density of states at the Fermi level: 9.4 states/eV/cell
- Crystal system: tetragonal
- VASP energy: -5.89 eV per atom

abc: 3.9714 3.9714 9.8491
angles: 90.00 90.00 90.00
Last column: nearest neighbours and their distance in Å.
Fractional positions:
1 Er 0.5000 0.0000 0.2542  8 Ni 3.03-3.20, 6 Ge 3.05-3.13, 2 Co 3.13
2 Er 0.0000 0.5000 0.7458  8 Ni 3.03-3.20, 6 Ge 3.05-3.13, 2 Co 3.13
3 Co 0.5000 0.5000 0.5000  4 Ni 2.37
4 Ni 0.5000 0.5000 0.0000  4 Ge 2.38
5 Ni 0.0000 0.0000 0.0000  4 Ge 2.38
6 Ni 0.5000 0.0000 0.6306  3 Ge 2.33-2.37, 2 Co 2.37
7 Ni 0.0000 0.5000 0.3694  3 Ge 2.33-2.37, 2 Co 2.37
8 Ge 0.0000 0.0000 0.5000  4 Ni 2.37
9 Ge 0.5000 0.0000 0.8671  5 Ni 2.33-2.38
10 Ge 0.0000 0.5000 0.1329  5 Ni 2.33-2.38